No. 1
An optimized crystal structure of CaCe3Ge4. Source: Alexandria, functional GGA-PBE.

a = 3.998 Å, b = 6.556 Å, c = 16.219 Å
α = 90.00°, β = 90.00°, γ = 90.00°
Fractional positions:
Ca: 0.000 0.000 0.000
Ca: 0.500 0.500 0.500
Ce: 0.000 0.000 0.500
Ce: 0.000 0.500 0.301
Ce: 0.000 0.500 0.699
Ce: 0.500 0.000 0.199
Ce: 0.500 0.000 0.801
Ce: 0.500 0.500 0.000
Ge: 0.000 0.308 0.131
Ge: 0.000 0.308 0.869
Ge: 0.000 0.692 0.131
Ge: 0.000 0.692 0.869
Ge: 0.500 0.192 0.369
Ge: 0.500 0.192 0.631
Ge: 0.500 0.808 0.369
Ge: 0.500 0.808 0.631

Properties
Uncorrected energy: -42.72 eV/f.u.
Crystal system: orthorhombic
Space group: Immm, No. 71
E_form: -0.556 eV/atom
M_tot: 4.18 Bohr magnetons per cell
Calculated density: 5.9 g/cm³

No. 2
An optimized crystal structure of CeSc2Ir9. Source: Alexandria, functional GGA-PBE.

a = 9.182 Å, b = 9.182 Å, c = 9.182 Å
α = 33.30°, β = 33.30°, γ = 33.30°
Fractional positions:
Ce: 0.000 0.000 0.000
Sc: 0.140 0.140 0.140
Sc: 0.860 0.860 0.860
Ir: 0.082 0.586 0.586
Ir: 0.334 0.334 0.334
Ir: 0.414 0.414 0.918
Ir: 0.414 0.918 0.414
Ir: 0.500 0.500 0.500
Ir: 0.586 0.082 0.586
Ir: 0.586 0.586 0.082
Ir: 0.666 0.666 0.666
Ir: 0.918 0.414 0.414

Properties
Uncorrected energy: -105.12 eV/f.u.
Crystal system: trigonal
Space group: R-3m, No. 166
E_form: -0.565 eV/atom
M_tot: 0.00 Bohr magnetons per cell
Calculated density: 15.7 g/cm³

No. 3
An optimized crystal structure of SmZr2Zn. Source: Alexandria, functional GGA-PBE.

a = 3.317 Å, b = 3.317 Å, c = 8.323 Å
α = 90.00°, β = 90.00°, γ = 90.00°
Fractional positions:
Sm: 0.000 0.000 0.000
Zr: 0.500 0.500 0.291
Zr: 0.500 0.500 0.709
Zn: 0.000 0.000 0.500

Properties
Uncorrected energy: -23.21 eV/f.u.
Crystal system: tetragonal
Space group: P4/mmm, No. 123
E_form: -0.029 eV/atom
M_tot: 0.00 Bohr magnetons per cell
Calculated density: 7.2 g/cm³

No. 4
An optimized crystal structure of Hf5Zr5Sn6. Source: Alexandria, functional GGA-PBE.

a = 5.764 Å, b = 8.481 Å, c = 8.481 Å
α = 119.80°, β = 90.00°, γ = 90.00°
Fractional positions:
Hf: 0.000 0.000 0.000
Hf: 0.250 0.085 0.418
Hf: 0.250 0.418 0.085
Hf: 0.750 0.085 0.418
Hf: 0.750 0.418 0.085
Zr: 0.000 0.506 0.752
Zr: 0.000 0.752 0.506
Zr: 0.500 0.502 0.502
Zr: 0.500 0.752 0.998
Zr: 0.500 0.998 0.752
Sn: 0.000 0.144 0.752
Sn: 0.000 0.358 0.358
Sn: 0.000 0.752 0.144
Sn: 0.500 0.144 0.144
Sn: 0.500 0.358 0.751
Sn: 0.500 0.751 0.358

Properties
Uncorrected energy: -124.31 eV/f.u.
Crystal system: orthorhombic
Space group: Amm2, No. 38
E_form: -0.486 eV/atom
M_tot: 0.00 Bohr magnetons per cell
Calculated density: 9.5 g/cm³

No. 5
An optimized crystal structure of NiHOs. Source: Alexandria, functional GGA-PBE.

a = 3.775 Å, b = 2.767 Å, c = 5.469 Å
α = 90.00°, β = 91.38°, γ = 90.00°
Fractional positions:
Ni: 0.228 0.250 0.377
Ni: 0.772 0.750 0.623
H: 0.488 0.750 0.376
H: 0.512 0.250 0.624
Os: 0.240 0.250 0.896
Os: 0.760 0.750 0.104

Properties
Uncorrected energy: -19.97 eV/f.u.
Crystal system: monoclinic
Space group: P2_1/m, No. 11
M_tot: 0.00 Bohr magnetons per cell
Calculated density: 14.5 g/cm³

No. 6
An optimized crystal structure of YVS3. Source: Alexandria, functional GGA-PBE.

a = 5.174 Å, b = 5.174 Å, c = 5.174 Å
α = 90.00°, β = 90.00°, γ = 90.00°
Fractional positions:
Y: 0.000 0.000 0.000
V: 0.500 0.500 0.500
S: 0.000 0.000 0.500
S: 0.000 0.500 0.000
S: 0.500 0.000 0.000

Properties
Uncorrected energy: -28.49 eV/f.u.
Crystal system: cubic
Space group: Pm-3m, No. 221
M_tot: 2.01 Bohr magnetons per cell
Calculated density: 2.8 g/cm³

No. 7
An optimized crystal structure of CsSiSbTe2. Source: Alexandria, functional GGA-PBE.

a = 5.639 Å, b = 5.639 Å, c = 5.351 Å
α = 90.00°, β = 90.00°, γ = 90.00°
Fractional positions:
Cs: 0.000 0.000 0.000
Si: 0.500 0.500 0.500
Sb: 0.500 0.500 0.000
Te: 0.000 0.500 0.500
Te: 0.500 0.000 0.500

Properties
Uncorrected energy: -16.55 eV/f.u.
Crystal system: tetragonal
Space group: P4/mmm, No. 123
M_tot: 0.00 Bohr magnetons per cell
Calculated density: 5.2 g/cm³

No. 8
An optimized crystal structure of ReNiAu2. Source: Alexandria, functional GGA-PBE.

a = 9.236 Å, b = 2.737 Å, c = 4.947 Å
α = 90.00°, β = 98.57°, γ = 90.00°
Fractional positions:
Re: 0.000 0.000 0.000
Re: 0.500 0.500 0.000
Ni: 0.000 0.500 0.500
Ni: 0.500 0.000 0.500
Au: 0.250 0.000 0.747
Au: 0.250 0.500 0.253
Au: 0.750 0.000 0.253
Au: 0.750 0.500 0.747

Properties
Uncorrected energy: -23.00 eV/f.u.
Crystal system: monoclinic
Space group: C2/m, No. 12
E_form: 0.446 eV/atom
M_tot: 0.00 Bohr magnetons per cell
Calculated density: 17.2 g/cm³

No. 9
An optimized crystal structure of Li2SbTe. Source: Alexandria, functional GGA-PBE.

a = 12.075 Å, b = 3.453 Å, c = 4.744 Å
α = 90.00°, β = 111.88°, γ = 90.00°
Fractional positions:
Li: 0.000 0.000 0.000
Li: 0.233 0.500 0.464
Li: 0.500 0.500 0.000
Li: 0.733 0.000 0.464
Sb: 0.255 0.000 0.989
Sb: 0.755 0.500 0.989
Te: 0.496 0.000 0.490
Te: 0.996 0.500 0.490

Properties
Uncorrected energy: -13.15 eV/f.u.
Crystal system: monoclinic
Space group: Cm, No. 8
M_tot: 0.00 Bohr magnetons per cell
Calculated density: 4.8 g/cm³

No. 10
An optimized crystal structure of PmZr2Pb. Source: Alexandria, functional GGA-PBE.

a = 4.661 Å, b = 4.661 Å, c = 4.647 Å
α = 90.00°, β = 90.00°, γ = 90.00°
Fractional positions:
Pm: 0.000 0.000 0.000
Zr: 0.000 0.500 0.500
Zr: 0.500 0.000 0.500
Pb: 0.500 0.500 0.000

Properties
Uncorrected energy: -25.95 eV/f.u.
Crystal system: tetragonal
Space group: P4/mmm, No. 123
E_form: -0.099 eV/atom
M_tot: 0.00 Bohr magnetons per cell
Calculated density: 8.8 g/cm³

No. 11
An optimized crystal structure of KRh2W. Source: Alexandria, functional GGA-PBE.

a = 4.934 Å, b = 4.934 Å, c = 2.830 Å
α = 90.00°, β = 90.00°, γ = 90.00°
Fractional positions:
K: 0.000 0.000 0.000
Rh: 0.000 0.500 0.500
Rh: 0.500 0.000 0.500
W: 0.500 0.500 0.000

Properties
Uncorrected energy: -25.40 eV/f.u.
Crystal system: tetragonal
Space group: P4/mmm, No. 123
E_form: 0.837 eV/atom
M_tot: 0.00 Bohr magnetons per cell
Calculated density: 10.3 g/cm³

No. 12
An optimized crystal structure of Al2VCu2. Source: Alexandria, functional GGA-PBE.

a = 2.659 Å, b = 19.686 Å, c = 2.641 Å
α = 90.00°, β = 90.00°, γ = 90.00°
Fractional positions:
Al: 0.000 0.102 0.000
Al: 0.000 0.898 0.000
Al: 0.500 0.398 0.000
Al: 0.500 0.602 0.000
V: 0.000 0.500 0.500
V: 0.500 0.000 0.500
Cu: 0.000 0.306 0.500
Cu: 0.000 0.694 0.500
Cu: 0.500 0.194 0.500
Cu: 0.500 0.806 0.500

Properties
Uncorrected energy: -25.34 eV/f.u.
Crystal system: orthorhombic
Space group: Cmmm, No. 65
E_form: -0.108 eV/atom
M_tot: 0.00 Bohr magnetons per cell
Calculated density: 5.6 g/cm³